(1)
Here is La2GaHgRu after structural relaxation from Alexandria. Energies are from PBE-GGA.

abc: 5.4459 5.4459 4.8973
angles: 90.00 90.00 90.00
Closest atoms and distances in Å follow each position.
Element x y z (fractional)
La1 0.0000 0.5000 0.0000  2 Ru 2.72
La2 0.5000 0.0000 0.0000  2 Ru 2.72
Ga1 0.0000 0.0000 0.5000  2 Ru 2.45
Hg1 0.5000 0.5000 0.5000  8 La 3.66, 4 Ga 3.85
Ru1 0.0000 0.0000 0.0000  2 Ga 2.45, 4 La 2.72

Properties
total DFT energy (no corrections)	-24.501	eV per formula unit
magnetic moment	0.000	μB per atom
crystal system	tetragonal



(2)
Here is LaGaHgRu2 after structural relaxation from Alexandria. Energies are from PBE-GGA.

abc: 4.8061 4.8061 6.0844
angles: 90.00 90.00 90.00
Closest atoms and distances in Å follow each position.
Element x y z (fractional)
La1 0.0000 0.0000 0.0000  4 Ru 2.40
Ga1 0.5000 0.5000 0.5000  4 Hg 3.40
Hg1 0.0000 0.0000 0.5000  2 La 3.04, 4 Ga 3.40
Ru1 0.0000 0.5000 0.0000  2 La 2.40
Ru2 0.5000 0.0000 0.0000  2 La 2.40

Properties
total DFT energy (no corrections)	-20.485	eV per formula unit
magnetic moment	0.000	μB per atom
crystal system	tetragonal



(3)
Here is La3Sm3GaHg2 after structural relaxation from Alexandria. Energies are from PBE-GGA.

abc: 8.7180 8.7180 4.1568
angles: 90.00 90.00 120.00
Closest atoms and distances in Å follow each position.
Element x y z (fractional)
La1 0.0000 0.7411 0.0000  2 Ga 3.07, 2 Hg 3.28
La2 0.2589 0.2589 0.0000  2 Ga 3.07, 2 Hg 3.28
La3 0.7411 0.0000 0.0000  2 Ga 3.07, 2 Hg 3.28
Sm1 0.0000 0.4016 0.5000  4 Hg 3.37, 1 Ga 3.50, 6 La 3.62-3.71
Sm2 0.4016 0.0000 0.5000  4 Hg 3.37, 1 Ga 3.50, 6 La 3.62-3.71
Sm3 0.5984 0.5984 0.5000  4 Hg 3.37, 1 Ga 3.50, 6 La 3.62-3.71
Ga1 0.0000 0.0000 0.5000  6 La 3.07
Hg1 0.3333 0.6667 0.0000  3 La 3.28, 6 Sm 3.37
Hg2 0.6667 0.3333 0.0000  3 La 3.28, 6 Sm 3.37

Properties
total DFT energy (no corrections)	-35.330	eV per formula unit
magnetic moment	0.000	μB per atom
crystal system	hexagonal